[1]
BeV2HPt | Alexandria via LeMat-Bulk | PBE | optimized geometry; crystal system = tetragonal
1.0
-0.003 0.443 3.549
-2.378 -2.651 0.329
3.098 -2.736 0.344
Be H Pt V
1 1 1 2
Direct
0.000 0.000 0.500
0.000 0.000 0.000
0.500 0.500 0.500
0.000 0.500 0.000
0.500 0.000 0.000

[2]
Nd2DySi3Ni12 | Alexandria via LeMat-Bulk | PBE | optimized geometry; crystal system = trigonal; formation energy (no corrections) = 0.6 eV/f.u.
1.0
7.612 0.101 0.072
3.847 6.569 0.072
3.847 2.239 6.176
Nd Dy Si Ni
2 1 3 12
Direct
0.597 0.597 0.597
0.403 0.403 0.403
0.000 0.000 0.000
0.500 0.000 0.000
0.000 0.500 0.000
0.000 0.000 0.500
0.351 0.351 0.888
0.838 0.838 0.472
0.472 0.838 0.838
0.888 0.351 0.351
0.838 0.472 0.838
0.351 0.888 0.351
0.649 0.649 0.112
0.162 0.162 0.528
0.528 0.162 0.162
0.112 0.649 0.649
0.162 0.528 0.162
0.649 0.112 0.649

[3]
V2Pd5Pt5 | Alexandria via LeMat-Bulk | PBE | optimized geometry; crystal system = monoclinic
1.0
-2.554 2.094 3.320
-1.235 -3.688 -1.927
8.886 -1.744 7.937
V Pd Pt
2 5 5
Direct
0.152 0.303 0.823
0.848 0.697 0.177
0.500 0.000 0.500
0.594 0.187 0.923
0.668 0.336 0.329
0.332 0.664 0.671
0.406 0.813 0.077
0.079 0.157 0.412
0.758 0.517 0.758
0.242 0.483 0.242
0.921 0.843 0.588
0.000 0.000 0.000

[4]
NaTmTl4 | Alexandria via LeMat-Bulk | PBE | optimized geometry; crystal system = monoclinic
1.0
3.578 0.000 1.035
2.027 5.986 -0.306
-0.411 -1.949 8.124
Na Tm Tl
1 1 4
Direct
0.000 0.000 0.000
0.500 0.500 0.500
0.857 0.462 0.824
0.313 0.029 0.346
0.143 0.538 0.176
0.687 0.971 0.654

[5]
ThBePb | Alexandria via LeMat-Bulk | PBE | optimized geometry; crystal system = orthorhombic
1.0
3.977 0.000 0.000
0.000 4.421 0.000
0.000 2.211 8.188
Be Pb Th
2 2 2
Direct
0.750 0.468 0.064
0.250 0.532 0.936
0.750 0.299 0.402
0.250 0.701 0.598
0.750 0.089 0.823
0.250 0.911 0.177

[6]
InIrSe2I | Alexandria via LeMat-Bulk | PBE | optimized geometry; crystal system = tetragonal; formation energy (no corrections) = 7.9 eV/f.u.
1.0
5.321 0.000 0.000
0.000 6.142 0.000
0.000 0.000 5.321
I Ir Se In
1 1 2 1
Direct
0.000 0.000 0.000
0.500 0.500 0.500
0.000 0.000 0.500
0.500 0.000 0.000
0.000 0.500 0.000

[7]
Sc2TeP | Alexandria via LeMat-Bulk | PBE | optimized geometry; crystal system = orthorhombic; formation energy (no corrections) = -3.7 eV/f.u.
1.0
3.178 2.239 3.382
-2.284 4.607 -0.337
-1.539 -4.658 1.576
Sc Te P
2 1 1
Direct
0.719 0.719 0.000
0.281 0.281 0.000
0.000 0.500 0.500
0.500 0.000 0.500

[8]
MgReS2 | Alexandria via LeMat-Bulk | PBE | optimized geometry; crystal system = tetragonal; formation energy (no corrections) = -0.9 eV/f.u.
1.0
-0.681 0.463 5.462
5.293 -1.375 0.776
3.703 4.767 2.850
Re S Mg
2 4 2
Direct
0.000 0.000 0.000
0.750 0.250 0.500
0.654 0.125 0.250
0.096 0.625 0.250
0.375 0.346 0.750
0.875 0.904 0.750
0.500 0.500 0.000
0.250 0.750 0.500

[9]
CoReBr2 | Alexandria via LeMat-Bulk | PBE | optimized geometry; crystal system = trigonal; formation energy (no corrections) = 4.2 eV/f.u.
1.0
8.063 -0.002 -0.001
7.462 3.055 -0.001
7.462 1.468 2.679
Br Co Re
2 1 1
Direct
0.996 0.996 0.996
0.504 0.504 0.504
0.250 0.250 0.250
0.750 0.750 0.750

[10]
Ca3Pa2InN6 | Alexandria via LeMat-Bulk | PBE | optimized geometry; crystal system = monoclinic; formation energy (no corrections) = -13.9 eV/f.u.
1.0
3.534 0.000 0.000
0.000 6.951 0.179
-1.767 -2.076 7.312
Ca Pa In N
3 2 1 6
Direct
0.500 0.500 0.000
0.837 0.168 0.675
0.163 0.832 0.325
0.837 0.678 0.673
0.163 0.322 0.327
0.500 0.000 0.000
0.333 0.895 0.666
0.673 0.556 0.347
0.667 0.105 0.334
0.008 0.245 0.016
0.992 0.755 0.984
0.327 0.444 0.653

[11]
Sr4Te2AsCl | Alexandria via LeMat-Bulk | PBE | optimized geometry; crystal system = monoclinic; formation energy (no corrections) = -13.5 eV/f.u.
1.0
4.637 0.000 0.000
0.000 7.992 -0.216
0.000 2.759 7.435
Sr Te As Cl
4 2 1 1
Direct
0.000 0.742 0.736
0.000 0.258 0.264
0.500 0.730 0.267
0.500 0.270 0.733
0.000 0.000 0.000
0.500 0.000 0.500
0.000 0.500 0.500
0.500 0.500 0.000

[12]
TbZn2P2Pt7 | Alexandria via LeMat-Bulk | PBE | optimized geometry; crystal system = monoclinic
1.0
-3.783 0.683 0.809
-0.784 -3.825 -0.427
0.836 -3.192 13.662
Tb Zn P Pt
1 2 2 7
Direct
0.000 0.000 0.000
0.899 0.899 0.416
0.101 0.101 0.584
0.594 0.594 0.742
0.406 0.406 0.258
0.500 0.500 0.000
0.390 0.390 0.419
0.610 0.610 0.581
0.941 0.440 0.162
0.440 0.941 0.162
0.560 0.059 0.838
0.059 0.560 0.838

[13]
CsBaHg2 | Alexandria via LeMat-Bulk | PBE | optimized geometry; crystal system = trigonal
1.0
4.878 0.000 0.000
2.439 4.224 0.000
2.439 1.408 9.539
Cs Ba Hg
1 1 2
Direct
0.499 0.499 0.503
0.668 0.668 0.997
0.073 0.073 0.781
0.260 0.260 0.219

[14]
Zr2SnRh6 | Alexandria via LeMat-Bulk | PBE | optimized geometry; crystal system = monoclinic
1.0
-4.112 0.347 1.239
-1.444 -4.910 -3.457
3.962 -1.588 6.117
Zr Sn Rh
2 1 6
Direct
0.665 0.666 0.332
0.335 0.334 0.668
0.000 0.000 0.000
0.166 0.417 0.333
0.834 0.084 0.667
0.834 0.583 0.667
0.501 0.249 0.000
0.166 0.916 0.333
0.499 0.751 0.000

[15]
Rb3VBr7 | Alexandria via LeMat-Bulk | PBE | optimized geometry; crystal system = monoclinic; formation energy (no corrections) = -13.9 eV/f.u.
1.0
6.585 0.157 2.486
-1.361 6.445 2.486
-1.258 -1.590 8.764
Rb V Br
3 1 7
Direct
0.694 0.150 0.473
0.503 0.503 0.916
0.150 0.694 0.473
0.019 0.019 0.984
0.142 0.142 0.202
0.681 0.031 0.120
0.022 0.364 0.837
0.031 0.681 0.120
0.620 0.620 0.517
0.364 0.022 0.837
0.899 0.899 0.771

[16]
Na2LaCrRe | Alexandria via LeMat-Bulk | PBE | optimized geometry; crystal system = tetragonal
1.0
5.102 0.000 0.000
0.000 5.613 0.000
0.000 0.000 5.102
Re Na Cr La
1 2 1 1
Direct
0.500 0.500 0.500
0.000 0.000 0.500
0.500 0.000 0.000
0.000 0.000 0.000
0.000 0.500 0.000

[17]
SbPd2F | Alexandria via LeMat-Bulk | PBE | optimized geometry; crystal system = triclinic; formation energy (no corrections) = -2.5 eV/f.u.
1.0
3.354 -0.004 0.005
0.002 5.894 0.376
0.009 -0.368 7.306
Sb Pd F
2 4 2
Direct
0.032 0.224 0.712
0.532 0.724 0.712
0.030 0.887 0.963
0.033 0.560 0.469
0.530 0.387 0.963
0.533 0.060 0.469
0.034 0.894 0.267
0.534 0.394 0.267

[18]
Os2RuW | Alexandria via LeMat-Bulk | PBE | optimized geometry; crystal system = tetragonal
1.0
-3.412 4.148 -1.641
-3.708 -1.488 3.947
-1.090 4.797 4.781
Ru Os W
2 4 2
Direct
0.500 0.500 0.000
0.250 0.750 0.500
0.614 0.125 0.250
0.136 0.625 0.250
0.375 0.386 0.750
0.875 0.864 0.750
0.000 0.000 0.000
0.750 0.250 0.500

[19]
Be2Co2As | Alexandria via LeMat-Bulk | PBE | optimized geometry; crystal system = tetragonal
1.0
6.061 0.000 0.000
0.000 6.061 0.000
0.000 0.000 2.924
Be As Co
4 2 4
Direct
0.131 0.631 0.500
0.631 0.869 0.500
0.869 0.369 0.500
0.369 0.131 0.500
0.000 0.000 0.000
0.500 0.500 0.000
0.342 0.842 0.000
0.842 0.658 0.000
0.658 0.158 0.000
0.158 0.342 0.000

[20]
CsI3Cl | Alexandria via LeMat-Bulk | PBE | optimized geometry; crystal system = tetragonal; formation energy (no corrections) = -2.5 eV/f.u.
1.0
-1.507 -6.325 5.644
7.999 -2.958 -1.180
5.292 -0.970 6.892
Cs I Cl
2 6 2
Direct
0.750 0.250 0.500
0.250 0.750 0.500
0.214 0.214 0.573
0.786 0.786 0.427
0.275 0.275 0.000
0.725 0.725 0.000
0.725 0.275 0.000
0.275 0.725 0.000
0.500 0.500 0.000
0.000 0.000 0.000

What raw total energy values result from the calculations? In sequence: -32.743; -99.174; -76.672; -15.841; -29.952; -12.228; -24.923; -46.349; -18.730; -91.553; -33.006; -67.520; -4.359; -67.138; -37.637; -21.010; -37.766; -78.106; -53.021; -19.780 eV for the cell shown.